No. 1
A relaxed structure of CuTc2N. Source: Alexandria, functional PBE.

Cell: 3.1330 3.1330 6.2897 Å, 75.58 75.58 60.00°
Sites, in units of the cell vectors:
Tc: 0.0559 0.0559 0.8323
Tc: 0.2786 0.2786 0.1641
N: 0.6657 0.6657 0.0029
Cu: 0.4998 0.4998 0.5007

Results
The value obtained for the density is 8.87 Mg/m³. As for the space-group type: R3m (160). For the total DFT energy (no corrections), the calculation gives -31.5 eV for the cell shown. The crystal system is trigonal.

***

No. 2
A relaxed structure of Cu2Tc2N. Source: Alexandria, functional PBE.

Cell: 5.3984 5.3984 4.4214 Å, 90.00 90.00 90.00°
Sites, in units of the cell vectors:
N: 0.5000 0.5000 0.0000
N: 0.0000 0.0000 0.0000
Tc: 0.6669 0.1669 0.0000
Tc: 0.3331 0.8331 0.0000
Tc: 0.1669 0.3331 0.0000
Tc: 0.8331 0.6669 0.0000
Cu: 0.6565 0.8435 0.5000
Cu: 0.3435 0.1565 0.5000
Cu: 0.1565 0.6565 0.5000
Cu: 0.8435 0.3435 0.5000

Results
The value obtained for the density is 8.69 Mg/m³. As for the space-group type: P4/mbm (127). For the total DFT energy (no corrections), the calculation gives -71.9 eV for the cell shown. The crystal system is tetragonal.